Entry from the Alexandria database: a geometry-optimized YHo2Co structure (PBE).

a b c (Å): 9.5317 9.5317 9.5317
angles (deg): 22.22 22.22 22.22
Last column: nearest neighbours and their distance in Å.
Positions (direct):
1 Y 0.0000 0.0000 0.0000  6 Y 3.67, 6 Ho 3.73
2 Ho 0.2233 0.2233 0.2233  3 Co 2.64
3 Ho 0.7767 0.7767 0.7767  3 Co 2.64
4 Co 0.5000 0.5000 0.5000  6 Ho 2.64

Properties
E_form   0.0079 eV per atom
ρ   7.3 Mg/m³
DFT total energy   -5.67 eV per atom



Entry from the Alexandria database: a geometry-optimized Nd2Al2SnPd5 structure (PBE).

a b c (Å): 10.4049 10.4049 3.5742
angles (deg): 90.00 90.00 90.00
Last column: nearest neighbours and their distance in Å.
Positions (direct):
1 Nd 0.1813 0.3187 0.0000  3 Al 2.96-3.18, 10 Pd 3.21-3.31
2 Nd 0.3187 0.8187 0.0000  3 Al 2.96-3.18, 10 Pd 3.21-3.31
3 Nd 0.6813 0.1813 0.0000  3 Al 2.96-3.18, 10 Pd 3.21-3.31
4 Nd 0.8187 0.6813 0.0000  3 Al 2.96-3.18, 10 Pd 3.21-3.31
5 Al 0.1174 0.6174 0.0000  6 Pd 2.49-2.59
6 Al 0.3826 0.1174 0.0000  6 Pd 2.49-2.59
7 Al 0.6174 0.8826 0.0000  6 Pd 2.49-2.59
8 Al 0.8826 0.3826 0.0000  6 Pd 2.49-2.59
9 Sn 0.0000 0.0000 0.0000  8 Pd 2.91
10 Sn 0.5000 0.5000 0.0000  8 Pd 2.91
11 Pd 0.0000 0.5000 0.5000  4 Al 2.49
12 Pd 0.0529 0.7861 0.5000  2 Al 2.59
13 Pd 0.2139 0.0529 0.5000  2 Al 2.59
14 Pd 0.2861 0.5529 0.5000  2 Al 2.59
15 Pd 0.4471 0.2861 0.5000  2 Al 2.59
16 Pd 0.5000 0.0000 0.5000  4 Al 2.49
17 Pd 0.5529 0.7139 0.5000  2 Al 2.59
18 Pd 0.7139 0.4471 0.5000  2 Al 2.59
19 Pd 0.7861 0.9471 0.5000  2 Al 2.59
20 Pd 0.9471 0.2139 0.5000  2 Al 2.59

Properties
E_form   -0.7281 eV per atom
ρ   8.5 Mg/m³
DFT total energy   -5.43 eV per atom



Entry from the Alexandria database: a geometry-optimized Cr2PC structure (PBE).

a b c (Å): 6.0624 6.0624 6.0624
angles (deg): 27.44 27.44 27.44
Last column: nearest neighbours and their distance in Å.
Positions (direct):
1 Cr 0.2269 0.2269 0.2269  3 C 1.97
2 Cr 0.7731 0.7731 0.7731  3 C 1.97
3 P 0.0000 0.0000 0.0000  6 Cr 2.49
4 C 0.5000 0.5000 0.5000  6 Cr 1.97

Properties
E_form   -0.1864 eV per atom
ρ   5.8 Mg/m³
DFT total energy   -8.66 eV per atom



Q: What is the formula in the second record?
A: Nd2Al2SnPd5



Q: Which value of ρ does entry 3 give?
A: 5.8 Mg/m³